1.
Y3ZnS2, optimized geometry, DFT GGA-PBE; SG = No. 71; crystal system = orthorhombic; magnetic moment = 0.0 μB per formula unit; formation energy (no corrections) = -1431 meV/atom
1.0
-1.9432 2.8319 6.1372
1.9432 -2.8319 6.1372
1.9432 2.8319 -6.1372
Y Zn S
3 1 2
Direct
0.0000 0.0000 0.0000
0.3245 0.3245 0.0000
0.6755 0.6755 0.0000
0.5000 0.0000 0.5000
0.1650 0.6650 0.5000
0.8350 0.3350 0.5000



2.
Y6ZnS5, optimized geometry, DFT GGA-PBE; SG = No. 12; crystal system = monoclinic; magnetic moment = 0.0 μB per formula unit; formation energy (no corrections) = -1724 meV/atom
1.0
3.4334 -5.9404 0.0000
3.4334 5.9404 0.0000
-2.2823 0.0000 6.4501
Y Zn S
6 1 5
Direct
0.0812 0.4168 0.7497
0.2482 0.2482 0.2503
0.4168 0.0812 0.7497
0.5832 0.9188 0.2503
0.7518 0.7518 0.7497
0.9188 0.5832 0.2503
0.5000 0.5000 0.0000
0.0000 0.0000 0.5000
0.1661 0.8339 0.0000
0.3323 0.6677 0.5000
0.6677 0.3323 0.5000
0.8339 0.1661 0.0000